# 1
Computed, not measured: a relaxed structure of In2AgIr at the PBE level of DFT.

The structure in extended XYZ format:
```
4
Lattice="9.458 -0.058 -0.034 8.957 3.037 -0.034 8.957 1.449 2.670" Properties=species:S:1:pos:R:3 pbc="T T T"
In 6.595 1.067 0.627
In 0.104 0.017 0.010
Ir 13.694 2.216 1.301
Ag 20.658 3.342 1.963
```

## Properties
**E_form**: 0.26 eV per atom
**Crystal system**: trigonal

=====

# 2
Computed, not measured: a relaxed structure of LiCa2Ni16 at the PBE level of DFT.

The structure in extended XYZ format:
```
19
Lattice="6.237 0.002 0.705 0.630 6.205 0.705 0.002 0.002 6.276" Properties=species:S:1:pos:R:3 pbc="T T T"
Ca 2.352 2.126 2.632
Ca 4.507 4.074 5.044
Ni 4.598 1.824 6.981
Ni 2.681 5.274 3.000
Ni 2.278 4.391 6.981
Ni 3.088 0.024 0.375
Ni 2.363 2.136 5.818
Ni 2.462 6.205 5.351
Ni 0.335 3.070 0.375
Ni 5.517 2.136 3.000
Ni 6.681 4.391 3.046
Ni 5.041 6.205 3.046
Ni 4.184 0.954 4.682
Ni 6.422 1.824 5.351
Ni 0.653 0.590 0.730
Ni 4.499 4.066 1.887
Ni 1.371 4.066 4.682
Ni 0.026 0.024 3.111
Li 6.192 5.596 6.929
```

## Properties
**E_form**: -0.08 eV per atom
**Crystal system**: trigonal

=====

# 3
Computed, not measured: a relaxed structure of Sm3In7Rh4 at the PBE level of DFT.

The structure in extended XYZ format:
```
14
Lattice="-0.656 4.374 0.690 2.991 1.505 7.821 8.450 3.610 -0.335" Properties=species:S:1:pos:R:3 pbc="T T T"
Rh 2.771 4.390 3.845
Rh 8.016 5.099 4.330
Rh 4.898 6.424 7.489
Rh 5.888 3.065 0.686
Sm 2.077 2.355 1.565
Sm 8.709 7.134 6.611
Sm 5.721 2.557 3.743
In 6.763 4.549 6.628
In 3.797 4.154 6.312
In 4.024 4.940 1.548
In 0.000 0.000 0.000
In 6.990 5.335 1.863
In 8.475 7.611 3.365
In 2.311 1.878 4.810
```

## Properties
**E_form**: -0.53 eV per atom
**Crystal system**: monoclinic

=====

# 4
Computed, not measured: a relaxed structure of Dy12Y3Er at the PBE level of DFT.

The structure in extended XYZ format:
```
16
Lattice="5.017 0.000 0.000 0.000 5.017 0.000 0.000 0.000 20.048" Properties=species:S:1:pos:R:3 pbc="T T T"
Dy 2.508 2.508 4.998
Dy 0.000 2.508 12.537
Dy 2.508 0.000 12.537
Dy 2.508 2.508 10.024
Dy 2.508 0.000 2.485
Dy 2.508 0.000 7.511
Dy 2.508 0.000 17.562
Dy 0.000 2.508 7.511
Dy 2.508 2.508 0.000
Dy 0.000 2.508 2.485
Dy 2.508 2.508 15.050
Dy 0.000 2.508 17.562
Y 0.000 0.000 5.000
Y 0.000 0.000 15.048
Y 0.000 0.000 10.024
Er 0.000 0.000 0.000
```

## Properties
**E_form**: 0.02 eV per atom
**Crystal system**: tetragonal

=====

# 5
Computed, not measured: a relaxed structure of TiNb2Bi at the PBE level of DFT.

The structure in extended XYZ format:
```
8
Lattice="4.031 0.000 0.000 0.000 4.031 0.000 2.015 2.015 10.355" Properties=species:S:1:pos:R:3 pbc="T T T"
Ti 2.015 2.015 0.000
Ti 2.015 4.031 5.178
Bi 4.031 2.015 5.178
Bi 0.000 0.000 0.000
Nb 3.009 1.008 2.589
Nb 5.038 5.024 7.766
Nb 3.023 3.038 7.766
Nb 1.022 3.023 2.589
```

## Properties
**E_form**: 0.46 eV per atom
**Crystal system**: tetragonal

=====

# 6
Computed, not measured: a relaxed structure of MoPt4Pb at the PBE level of DFT.

The structure in extended XYZ format:
```
6
Lattice="0.000 3.794 3.794 3.794 0.000 3.794 3.794 3.794 0.000" Properties=species:S:1:pos:R:3 pbc="T T T"
Pt 4.737 4.737 2.852
Pt 4.737 2.852 4.737
Pt 2.852 4.737 4.737
Pt 2.852 2.852 2.852
Pb 0.000 0.000 0.000
Mo 5.692 5.692 5.692
```

## Properties
**E_form**: 0.22 eV per atom
**Crystal system**: cubic

=====

# 7
Computed, not measured: a relaxed structure of CdHgP2Au at the PBE level of DFT.

The structure in extended XYZ format:
```
5
Lattice="4.968 0.000 0.000 0.000 5.254 0.000 0.000 0.000 4.968" Properties=species:S:1:pos:R:3 pbc="T T T"
P 0.000 0.000 2.484
P 2.484 0.000 0.000
Au 0.000 2.627 0.000
Hg 2.484 2.627 2.484
Cd 0.000 0.000 0.000
```

## Properties
**E_form**: 1.03 eV per atom
**Crystal system**: tetragonal

=====

# 8
Computed, not measured: a relaxed structure of LaY2P2 at the PBE level of DFT.

The structure in extended XYZ format:
```
5
Lattice="5.191 0.000 0.000 0.000 5.191 0.000 2.596 2.596 5.156" Properties=species:S:1:pos:R:3 pbc="T T T"
P 2.596 5.191 2.578
P 5.191 2.596 2.578
Y 2.596 2.596 1.761
Y 5.191 5.191 3.395
La 0.000 0.000 0.000
```

## Properties
**E_form**: -0.87 eV per atom
**Crystal system**: tetragonal
**Offset from the most stable computed form**: 309.1 meV/atom

=====

# 9
Computed, not measured: a relaxed structure of PIr2 at the PBE level of DFT.

The structure in extended XYZ format:
```
3
Lattice="4.361 -0.001 0.000 1.431 4.119 0.000 -2.896 -2.059 2.528" Properties=species:S:1:pos:R:3 pbc="T T T"
P 0.000 0.000 0.000
Ir 3.956 2.814 0.000
Ir 1.835 1.305 0.000
```

## Properties
**E_form**: 0.31 eV per atom
**Crystal system**: tetragonal

=====

# 10
Computed, not measured: a relaxed structure of Te2WSeI at the PBE level of DFT.

The structure in extended XYZ format:
```
5
Lattice="5.273 0.000 0.000 0.000 5.273 0.000 0.000 0.000 5.369" Properties=species:S:1:pos:R:3 pbc="T T T"
W 0.000 0.000 0.000
Te 0.000 2.636 0.000
Te 2.636 0.000 0.000
Se 2.636 2.636 2.684
I 0.000 0.000 2.684
```

## Properties
**Crystal system**: tetragonal
**Offset from the most stable computed form**: 0.0 meV/atom
**Uncorrected formation energy**: 0.692 eV/atom

=====

# 11
Computed, not measured: a relaxed structure of Nd2InGa2Pt5 at the PBE level of DFT.

The structure in extended XYZ format:
```
20
Lattice="3.833 0.000 0.000 0.000 10.017 0.000 0.000 0.000 10.017" Properties=species:S:1:pos:R:3 pbc="T T T"
In 0.000 0.000 0.000
In 0.000 5.008 5.008
Ga 0.000 6.211 8.815
Ga 0.000 8.815 3.806
Ga 0.000 3.806 1.202
Ga 0.000 1.202 6.211
Pt 1.916 2.883 5.606
Pt 1.916 0.597 7.892
Pt 1.916 5.008 0.000
Pt 1.916 4.411 2.883
Pt 1.916 5.606 7.134
Pt 1.916 9.420 2.125
Pt 1.916 7.134 4.411
Pt 1.916 0.000 5.008
Pt 1.916 2.125 0.597
Pt 1.916 7.892 9.420
Nd 0.000 1.790 3.219
Nd 0.000 6.798 1.790
Nd 0.000 3.219 8.227
Nd 0.000 8.227 6.798
```

## Properties
**E_form**: -0.81 eV per atom
**Crystal system**: tetragonal

=====

# 12
Computed, not measured: a relaxed structure of Ca2MgPbCl8 at the PBE level of DFT.

The structure in extended XYZ format:
```
12
Lattice="-4.123 4.794 1.464 -2.402 -0.238 -5.792 -5.612 -5.606 2.558" Properties=species:S:1:pos:R:3 pbc="T T T"
Cl -8.332 -0.439 1.952
Cl -6.952 -3.755 -2.289
Cl -4.915 -1.213 0.138
Cl -5.185 2.705 0.518
Cl -10.208 -2.488 -0.691
Cl -7.222 0.163 -1.908
Cl -1.929 1.438 -1.080
Cl -3.805 -0.611 -3.723
Ca -4.598 0.944 -1.556
Ca -7.539 -1.994 -0.215
Mg 0.000 0.000 0.000
Pb -2.806 -2.803 1.279
```

## Properties
**Crystal system**: monoclinic
**Uncorrected formation energy**: -1.928 eV/atom

=====

# 13
Computed, not measured: a relaxed structure of Hg3RhC at the PBE level of DFT.

The structure in extended XYZ format:
```
5
Lattice="5.254 0.000 0.000 0.000 5.254 0.000 0.000 0.000 5.254" Properties=species:S:1:pos:R:3 pbc="T T T"
Hg 2.627 0.000 0.000
Hg 0.000 0.000 2.627
Hg 0.000 2.627 0.000
C 2.627 2.627 2.627
Rh 0.000 0.000 0.000
```

## Properties
**E_form**: 1.59 eV per atom
**Crystal system**: cubic
**Offset from the most stable computed form**: 338.3 meV/atom

=====

# 14
Computed, not measured: a relaxed structure of DyNbNi2 at the PBE level of DFT.

The structure in extended XYZ format:
```
4
Lattice="4.255 0.000 0.000 2.127 3.685 0.000 2.127 1.228 4.697" Properties=species:S:1:pos:R:3 pbc="T T T"
Nb 4.255 2.456 2.349
Ni 6.382 3.685 2.859
Ni 2.127 1.228 1.839
Dy 0.000 0.000 0.000
```

## Properties
**E_form**: -0.22 eV per atom
**Crystal system**: trigonal
**Offset from the most stable computed form**: 0.0 meV/atom

=====

# 15
Computed, not measured: a relaxed structure of Ni2HgAu at the PBE level of DFT.

The structure in extended XYZ format:
```
8
Lattice="3.913 0.000 0.000 0.000 3.913 0.000 1.957 1.957 9.081" Properties=species:S:1:pos:R:3 pbc="T T T"
Ni 1.181 2.935 2.270
Ni 2.733 0.978 2.270
Ni 2.935 3.137 6.811
Ni 4.892 4.689 6.811
Hg 3.913 1.957 4.541
Hg 0.000 0.000 0.000
Au 1.957 3.913 4.541
Au 1.957 1.957 0.000
```

## Properties
**E_form**: 0.51 eV per atom
**Crystal system**: tetragonal